Entry from the Alexandria database: crystalline NaIn4Pd at its relaxed geometry (PBE).

Unit cell a=7.7891 b=7.7891 c=7.7891 alpha=127.64 beta=127.64 gamma=77.21
Last column: nearest neighbours and their distance in Å.
Fractional coordinates of all 12 atoms:
Na  0.0000  0.0000  0.0000  2 Pd 3.04, 8 In 3.10
Na  0.5000  0.5000  0.0000  2 Pd 3.04, 8 In 3.10
In  0.0183  0.5183  0.8190  2 Pd 2.90, 2 In 3.10-3.18, 2 Na 3.10
In  0.1993  0.0183  0.5000  2 Pd 2.90, 2 In 3.10-3.18, 2 Na 3.10
In  0.3007  0.8007  0.8190  2 Pd 2.90, 2 In 3.10-3.18, 2 Na 3.10
In  0.4817  0.3007  0.5000  2 Pd 2.90, 2 In 3.10-3.18, 2 Na 3.10
In  0.5183  0.6993  0.5000  2 Pd 2.90, 2 In 3.10-3.18, 2 Na 3.10
In  0.6993  0.1993  0.1810  2 Pd 2.90, 2 In 3.10-3.18, 2 Na 3.10
In  0.8007  0.9817  0.5000  2 Pd 2.90, 2 In 3.10-3.18, 2 Na 3.10
In  0.9817  0.4817  0.1810  2 Pd 2.90, 2 In 3.10-3.18, 2 Na 3.10
Pd  0.2500  0.2500  0.0000  8 In 2.90, 2 Na 3.04
Pd  0.7500  0.7500  0.0000  8 In 2.90, 2 Na 3.04

Output
The calculation puts the formation energy at -1.134 eV/f.u. The space group is No. 140. The value obtained for the energy above the most stable polymorph in this dataset is 0 meV/atom.